VASP calculation (PBE-GGA) on a relaxed NdCuTe3Pb crystal.

Calculated values
energy above the most stable polymorph in this dataset = 1.0 kJ/mol of atoms

```
NdCuTe3Pb
1.0
12.494 0.000 0.000
0.000 4.481 0.000
0.000 0.000 12.691
Nd Cu Te Pb
4 4 12 4
Cartesian
0.356 1.120 2.374 Nd
5.890 3.360 8.720 Nd
6.603 1.120 3.971 Nd
12.137 3.360 10.317 Nd
2.943 3.360 3.749 Cu
3.304 1.120 10.095 Cu
9.190 3.360 2.596 Cu
9.551 1.120 8.942 Cu
0.486 3.360 4.670 Te
1.329 1.120 11.917 Te
2.679 3.360 8.772 Te
3.568 1.120 2.427 Te
4.918 3.360 5.571 Te
5.761 1.120 11.016 Te
6.733 3.360 1.675 Te
7.576 1.120 7.120 Te
8.925 3.360 10.265 Te
9.815 1.120 3.919 Te
11.165 3.360 0.774 Te
12.007 1.120 8.021 Te
2.406 1.120 6.196 Pb
3.841 3.360 12.542 Pb
8.653 1.120 0.149 Pb
10.088 3.360 6.495 Pb
```